<P>
## TmZrIr2 (PBE)

Data for a relaxed TmZrIr2 crystal.

Lattice parameters (Å, degrees): 4.7314 4.7314 4.7314 60.00 60.00 60.00
Positions (direct):
Ir  0.2500  0.2500  0.2500
Ir  0.7500  0.7500  0.7500
Tm  0.5000  0.5000  0.5000
Zr  0.0000  0.0000  0.0000

Calculated values
- Size of the total moment: 0.00 Bohr magnetons per cell

---

<Q>
## TmZrIr2 (PBE)

Data for a relaxed TmZrIr2 crystal.

Lattice parameters (Å, degrees): 3.3222 3.3222 6.8382 90.00 90.00 90.00
Positions (direct):
Ir  0.0000  0.0000  0.7668
Ir  0.0000  0.0000  0.2332
Tm  0.5000  0.5000  0.5000
Zr  0.5000  0.5000  0.0000

Calculated values
- Size of the total moment: 0.00 Bohr magnetons per cell

---

Least stable of them? <P>.

---

<P>
## UIr2W (PBE)

Data for a relaxed UIr2W crystal.

Lattice parameters (Å, degrees): 4.0625 4.0806 4.0806 90.00 90.00 90.00
Positions (direct):
Ir  0.0000  0.0000  0.5000
Ir  0.0000  0.5000  0.0000
U  0.5000  0.0000  0.0000
W  0.5000  0.5000  0.5000

Calculated values
- Size of the total moment: 0.00 Bohr magnetons per cell

---

<Q>
## UIr2W (PBE)

Data for a relaxed UIr2W crystal.

Lattice parameters (Å, degrees): 2.7995 2.7995 9.8727 81.85 81.85 60.00
Positions (direct):
Ir  0.7566  0.7566  0.7302
Ir  0.2434  0.2434  0.2698
U  0.0000  0.0000  0.0000
W  0.5000  0.5000  0.5000

Calculated values
- Size of the total moment: 0.48 Bohr magnetons per cell

---

Least stable of them? <Q>.

---

<P>
## ZrUIr2 (PBE)

Data for a relaxed ZrUIr2 crystal.

Lattice parameters (Å, degrees): 4.7650 4.7650 4.7675 60.02 60.02 60.00
Positions (direct):
Ir  0.7501  0.7501  0.7496
Ir  0.2499  0.2499  0.2504
U  0.5000  0.5000  0.5000
Zr  0.0000  0.0000  0.0000

Calculated values
- Size of the total moment: 2.19 Bohr magnetons per cell

---

<Q>
## ZrUIr2 (PBE)

Data for a relaxed ZrUIr2 crystal.

Lattice parameters (Å, degrees): 3.2526 3.2526 7.1356 90.00 90.00 90.00
Positions (direct):
Ir  0.0000  0.0000  0.7658
Ir  0.0000  0.0000  0.2342
U  0.5000  0.5000  0.5000
Zr  0.5000  0.5000  0.0000

Calculated values
- Size of the total moment: 1.47 Bohr magnetons per cell

---

Least stable of them? <P>.

---

<P>
## Zr2UIr (PBE)

Data for a relaxed Zr2UIr crystal.

Lattice parameters (Å, degrees): 4.8063 4.8063 4.8063 60.00 60.00 60.00
Positions (direct):
Ir  0.5000  0.5000  0.5000
U  0.0000  0.0000  0.0000
Zr  0.2500  0.2500  0.2500
Zr  0.7500  0.7500  0.7500

Calculated values
- Size of the total moment: 1.74 Bohr magnetons per cell

---

<Q>
## Zr2UIr (PBE)

Data for a relaxed Zr2UIr crystal.

Lattice parameters (Å, degrees): 3.1432 4.9974 4.9974 90.00 90.00 90.00
Positions (direct):
Ir  0.5000  0.5000  0.5000
U  0.5000  0.0000  0.0000
Zr  0.0000  0.0000  0.5000
Zr  0.0000  0.5000  0.0000

Calculated values
- Size of the total moment: 1.44 Bohr magnetons per cell

---

Least stable of them? <P>.